{
  "formula": "CsYAgCl6",
  "functional": "PBE",
  "state": "optimized geometry",
  "density_g_cm3": 2.76,
  "space_group": "No. 1",
  "raw_formation_energy_ev_per_atom": -1.59,
  "total_energy_ev_per_atom": -3.95,
  "magmom_total_mub_per_fu": 1.06,
  "cell": [[-1.2170, 4.9237, -4.5642], [-4.1219, -1.7163, -5.1743], [-6.3623, 1.8144, 4.1030]],
  "species": ["Cs", "Y", "Ag", "Cl", "Cl", "Cl", "Cl", "Cl", "Cl"],
  "frac_coords": [[0.0186, 0.0180, 0.0005], [0.6783, 0.6790, 0.4998], [0.3344, 0.3344, 0.5004], [0.9975, 0.3714, 0.3311], [0.3724, 0.9982, 0.6695], [0.6103, 0.3776, 0.6954], [0.9776, 0.6364, 0.7297], [0.3767, 0.6090, 0.3048], [0.6340, 0.9760, 0.2686]]
}



{
  "formula": "Cs2YAgCl6",
  "functional": "PBE",
  "state": "optimized geometry",
  "density_g_cm3": 3.51,
  "space_group": "No. 225",
  "raw_formation_energy_ev_per_atom": -1.85,
  "total_energy_ev_per_atom": -4.06,
  "magmom_total_mub_per_fu": 0.00,
  "cell": [[-7.6405, 0.3241, 0.6546], [-4.4516, -2.3873, -5.7789], [-4.0688, -6.4693, 0.7097]],
  "species": ["Cs", "Cs", "Y", "Ag", "Cl", "Cl", "Cl", "Cl", "Cl", "Cl"],
  "frac_coords": [[0.7500, 0.7500, 0.7500], [0.2500, 0.2500, 0.2500], [0.5000, 0.5000, 0.5000], [0.0000, 0.0000, 0.0000], [0.7439, 0.2561, 0.2561], [0.2561, 0.2561, 0.7439], [0.2561, 0.7439, 0.7439], [0.2561, 0.7439, 0.2561], [0.7439, 0.2561, 0.7439], [0.7439, 0.7439, 0.2561]]
}